Record 1
Below is crystalline NaSr at its relaxed geometry, with properties calculated at the PBE level.

Geometry as POSCAR:
```
NaSr
1.0
0.000 5.931 9.300
3.527 0.000 9.300
3.527 5.931 0.000
Na Sr
4 4
Direct
0.043 0.043 0.207
0.207 0.207 0.043
0.793 0.793 0.957
0.957 0.957 0.793
0.210 0.540 0.210
0.460 0.790 0.460
0.540 0.210 0.540
0.790 0.460 0.790
```

## Properties
Crystal system: orthorhombic
Distance to the lowest polymorph of the same formula in meV/atom: 122


Record 2
Below is crystalline Na4Sr at its relaxed geometry, with properties calculated at the PBE level.

Geometry as POSCAR:
```
Na4Sr
1.0
0.000 3.703 7.562
3.694 0.000 7.562
3.694 3.703 0.000
Na Sr
4 1
Direct
0.105 0.105 0.895
0.250 0.250 0.250
0.750 0.750 0.750
0.895 0.895 0.105
0.500 0.500 0.500
```

## Properties
Crystal system: orthorhombic
Distance to the lowest polymorph of the same formula in meV/atom: 0


Record 3
Below is crystalline NaSr at its relaxed geometry, with properties calculated at the PBE level.

Geometry as POSCAR:
```
NaSr
1.0
-3.135 5.844 3.835
3.135 -5.844 3.835
3.135 5.844 -3.835
Na Sr
3 3
Direct
0.000 0.000 0.000
0.610 0.252 0.358
0.894 0.252 0.642
0.068 0.748 0.320
0.428 0.748 0.680
0.495 0.495 0.000
```

## Properties
Crystal system: orthorhombic
Distance to the lowest polymorph of the same formula in meV/atom: 37


Record 4
Below is crystalline NaSr2 at its relaxed geometry, with properties calculated at the PBE level.

Geometry as POSCAR:
```
NaSr2
1.0
-2.046 2.046 17.977
2.046 -2.046 17.977
2.046 2.046 -17.977
Na Sr
2 4
Direct
0.375 0.625 0.750
0.625 0.375 0.250
0.050 0.800 0.250
0.200 0.950 0.250
0.800 0.050 0.750
0.950 0.200 0.750
```

## Properties
Crystal system: tetragonal
Distance to the lowest polymorph of the same formula in meV/atom: 106


Record 5
Below is crystalline Na3Sr at its relaxed geometry, with properties calculated at the PBE level.

Geometry as POSCAR:
```
Na3Sr
1.0
9.754 0.000 0.000
-4.877 8.447 0.000
0.000 0.000 12.250
Na Sr
18 6
Direct
0.000 0.000 0.163
0.000 0.000 0.663
0.000 0.275 0.341
0.000 0.285 0.000
0.000 0.715 0.500
0.000 0.725 0.841
0.275 0.000 0.341
0.275 0.275 0.841
0.285 0.000 0.000
0.285 0.285 0.500
0.333 0.667 0.419
0.333 0.667 0.919
0.667 0.333 0.419
0.667 0.333 0.919
0.715 0.000 0.500
0.715 0.715 0.000
0.725 0.000 0.841
0.725 0.725 0.341
0.000 0.403 0.672
0.000 0.597 0.172
0.403 0.000 0.672
0.403 0.403 0.172
0.597 0.000 0.172
0.597 0.597 0.672
```

## Properties
Crystal system: hexagonal


Record 6
Below is crystalline NaSr7 at its relaxed geometry, with properties calculated at the PBE level.

Geometry as POSCAR:
```
NaSr7
1.0
0.000 5.960 5.960
5.960 0.000 5.960
5.960 5.960 0.000
Na Sr
1 7
Direct
0.000 0.000 0.000
0.000 0.000 0.500
0.000 0.500 0.000
0.000 0.500 0.500
0.500 0.000 0.000
0.500 0.000 0.500
0.500 0.500 0.000
0.500 0.500 0.500
```

## Properties
Crystal system: cubic


Record 7
Below is crystalline Na8Sr3 at its relaxed geometry, with properties calculated at the PBE level.

Geometry as POSCAR:
```
Na8Sr3
1.0
7.018 -2.131 0.000
7.018 2.131 0.000
-4.154 0.000 15.538
Na Sr
8 3
Direct
0.046 0.046 0.313
0.152 0.152 0.937
0.247 0.247 0.595
0.333 0.333 0.246
0.667 0.667 0.754
0.753 0.753 0.405
0.848 0.848 0.063
0.954 0.954 0.687
0.408 0.408 0.874
0.500 0.500 0.500
0.592 0.592 0.126
```

## Properties
Crystal system: monoclinic


Record 8
Below is crystalline Na5Sr at its relaxed geometry, with properties calculated at the PBE level.

Geometry as POSCAR:
```
Na5Sr
1.0
3.153 -9.331 0.000
3.153 9.331 0.000
0.000 0.000 4.153
Na Sr
5 1
Direct
0.000 0.000 0.000
0.156 0.844 0.500
0.319 0.681 0.000
0.681 0.319 0.000
0.844 0.156 0.500
0.500 0.500 0.500
```

## Properties
Crystal system: orthorhombic
Distance to the lowest polymorph of the same formula in meV/atom: 0


Quick rundown of ΔH_f (0 K), same order as above: 0.144, 0.071, 0.060, 0.115, 0.056, 0.020, 0.040, 0.036 eV/atom